Record 1
First-principles (PBE) data for a geometry-optimized K3BO structure, as listed in Alexandria via LeMat-Bulk.

The structure in POSCAR format:
```
K3BO
1.0
-2.311 4.149 -2.295
-2.444 -3.230 -3.378
-4.063 -0.417 3.338
K B O
3 1 1
direct
0.000 0.500 0.000
0.000 0.000 0.500
0.500 0.000 0.000
0.500 0.500 0.500
0.000 0.000 0.000
```

The value obtained for the raw formation energy is 0.23 eV per atom. For the energy above the most stable polymorph in this dataset, the calculation gives 0.0000 eV/atom. As for the density of states at the Fermi level: 1.214 states/eV per atom.


Record 2
First-principles (PBE) data for a geometry-optimized KB3O5 structure, as listed in Alexandria via LeMat-Bulk.

The structure in POSCAR format:
```
KB3O5
1.0
-1.029 6.365 -1.509
1.335 -0.608 -6.457
-8.579 -0.571 -3.294
K B O
4 12 20
direct
0.252 0.577 0.948
0.423 0.748 0.552
0.748 0.423 0.052
0.577 0.252 0.448
0.799 0.794 0.735
0.206 0.201 0.765
0.201 0.206 0.265
0.794 0.799 0.235
0.920 0.432 0.680
0.568 0.080 0.820
0.080 0.568 0.320
0.432 0.920 0.180
0.033 0.116 0.566
0.884 0.967 0.934
0.967 0.884 0.434
0.116 0.033 0.066
0.930 0.909 0.598
0.091 0.070 0.902
0.070 0.091 0.402
0.909 0.930 0.098
0.894 0.786 0.867
0.214 0.106 0.633
0.106 0.214 0.133
0.786 0.894 0.367
0.093 0.407 0.750
0.593 0.907 0.750
0.907 0.593 0.250
0.407 0.093 0.250
0.773 0.593 0.698
0.407 0.227 0.802
0.227 0.407 0.302
0.593 0.773 0.198
0.887 0.290 0.594
0.710 0.113 0.906
0.113 0.710 0.406
0.290 0.887 0.094
```

The value obtained for the raw formation energy is -2.41 eV per atom. For the energy above the most stable polymorph in this dataset, the calculation gives 0.0196 eV/atom. As for the density of states at the Fermi level: 0.000 states/eV per atom.


Record 3
First-principles (PBE) data for a geometry-optimized KBO2 structure, as listed in Alexandria via LeMat-Bulk.

The structure in POSCAR format:
```
KBO2
1.0
-3.290 -2.603 5.112
-1.097 -1.599 6.322
-3.198 0.008 5.789
K B O
1 1 2
direct
0.000 0.000 0.000
0.500 0.500 0.500
0.879 0.879 0.879
0.121 0.121 0.121
```

The value obtained for the raw formation energy is -0.66 eV per atom.


Record 4
First-principles (PBE) data for a geometry-optimized K3BO4 structure, as listed in Alexandria via LeMat-Bulk.

The structure in POSCAR format:
```
K3BO4
1.0
-3.013 -4.521 -1.417
4.573 0.970 -3.111
2.564 -0.231 4.990
K B O
3 1 4
direct
0.500 0.750 0.250
0.000 0.000 0.000
0.500 0.250 0.750
0.000 0.500 0.500
0.641 0.321 0.321
0.000 0.321 0.679
0.000 0.679 0.321
0.359 0.679 0.679
```

The value obtained for the raw formation energy is -1.30 eV per atom.


Record 5
First-principles (PBE) data for a geometry-optimized KBO2 structure, as listed in Alexandria via LeMat-Bulk.

The structure in POSCAR format:
```
KBO2
1.0
-0.564 -4.611 1.566
-1.259 -1.384 -4.531
2.382 -3.644 -2.200
K B O
2 2 4
direct
0.000 0.000 0.000
0.750 0.250 0.500
0.500 0.500 0.000
0.250 0.750 0.500
0.331 0.125 0.250
0.419 0.625 0.250
0.375 0.669 0.750
0.875 0.581 0.750
```

The value obtained for the raw formation energy is -2.03 eV per atom. As for the density of states at the Fermi level: 0.000 states/eV per atom.


Record 6
First-principles (PBE) data for a geometry-optimized K5B2O5 structure, as listed in Alexandria via LeMat-Bulk.

The structure in POSCAR format:
```
K5B2O5
1.0
-2.281 -0.664 1.953
7.099 -4.393 4.378
1.945 7.396 4.785
K B O
5 2 5
direct
0.500 0.000 0.500
0.595 0.191 0.145
0.831 0.661 0.296
0.169 0.339 0.704
0.405 0.809 0.855
0.039 0.077 0.860
0.961 0.923 0.140
0.997 0.993 0.271
0.593 0.185 0.864
0.407 0.815 0.136
0.003 0.007 0.729
0.000 0.000 0.000
```

The value obtained for the raw formation energy is -1.44 eV per atom. As for the density of states at the Fermi level: 0.132 states/eV per atom.